# BeCuW2 (PBE, relaxed)
# * mass density: 12.08 g/cm3
# * formation energy: 0.88 eV/atom
# * distance to the lowest polymorph of the same formula: 69.59 kJ per mole of atoms
data_BeCuW2
_chemical_formula_sum 'Be4 Cu4 W8'
_cell_length_a 3.6465
_cell_length_b 3.6465
_cell_length_c 18.2088
_cell_angle_alpha 90.00
_cell_angle_beta 90.00
_cell_angle_gamma 90.00
_symmetry_space_group_name_H-M 'I -4 2 d'
_symmetry_Int_Tables_number 122
_symmetry_space_group_name_Hall 'I -4 2bw'
loop_
_atom_site_label
_atom_site_type_symbol
_atom_site_fract_x
_atom_site_fract_y
_atom_site_fract_z
Be1 Be 0.0000 0.0000 0.0000
Cu1 Cu 0.0000 0.0000 0.5000
W1 W 0.2414 0.2500 0.1250